# 1
Bi5TePd6 | GGA-PBE | optimized geometry

Lattice parameters (Å, degrees): 7.2435 7.2435 7.1163 100.49 100.49 127.00
Element x y z (fractional)
Bi1 0.0000 0.0000 0.0000
Bi2 0.1369 0.8631 0.5000
Bi3 0.3034 0.6966 0.0000
Bi4 0.6966 0.3034 0.0000
Bi5 0.8631 0.1369 0.5000
Te1 0.5000 0.5000 0.5000
Pd1 0.1292 0.4719 0.2968
Pd2 0.3224 0.3224 0.7987
Pd3 0.4719 0.1292 0.2968
Pd4 0.5281 0.8708 0.7032
Pd5 0.6776 0.6776 0.2013
Pd6 0.8708 0.5281 0.7032

# 2
Bi3Te2Pd7 | GGA-PBE | optimized geometry

Lattice parameters (Å, degrees): 4.6520 4.9079 12.1829 78.87 82.28 75.02
Element x y z (fractional)
Bi1 0.0000 0.0000 0.0000
Bi2 0.0244 0.7872 0.4058
Bi3 0.9756 0.2128 0.5942
Te1 0.4988 0.2559 0.2268
Te2 0.5012 0.7441 0.7732
Pd1 0.0305 0.5415 0.8562
Pd2 0.3378 0.5822 0.6020
Pd3 0.3438 0.8173 0.1889
Pd4 0.5000 0.5000 0.0000
Pd5 0.6562 0.1827 0.8111
Pd6 0.6622 0.4178 0.3980
Pd7 0.9695 0.4585 0.1438

# 3
BiTe2Pd2 | GGA-PBE | optimized geometry

Lattice parameters (Å, degrees): 6.8379 6.8379 6.8379 141.77 141.77 55.18
Element x y z (fractional)
Bi1 0.0000 0.0000 0.0000
Te1 0.2500 0.7500 0.5000
Te2 0.7500 0.2500 0.5000
Pd1 0.3874 0.3874 0.0000
Pd2 0.6126 0.6126 0.0000

Per-record formation energy without anion corrections, eV/atom: -0.211, -0.214, 0.025
Per-record magnetic moment, μB per atom: 0.00, 0.00, 0.00